Mg2Ta | GGA-PBE | relaxed

Summary:
- Density: 5.8 Mg/m³
- SG: Fddd
- E above lowest polymorph: 330.3 meV per atom

abc: 11.5082 10.9553 5.2830
angles: 82.31 70.63 27.06
Sites, in units of the cell vectors:
Mg (0.0529, 0.0529, 0.1971)
Mg (0.1971, 0.1971, 0.0529)
Mg (0.2065, 0.5435, 0.2065)
Mg (0.4565, 0.7935, 0.4565)
Mg (0.5435, 0.2065, 0.5435)
Mg (0.7935, 0.4565, 0.7935)
Mg (0.8029, 0.8029, 0.9471)
Mg (0.9471, 0.9471, 0.8029)
Ta (0.2491, 0.2491, 0.5009)
Ta (0.4991, 0.4991, 0.7509)
Ta (0.5009, 0.5009, 0.2491)
Ta (0.7509, 0.7509, 0.4991)

MgTa | GGA-PBE | relaxed

Summary:
- Density: 8.9 Mg/m³
- SG: Pbcm
- DFT total energy: -6.388 eV per atom

abc: 6.0388 15.6981 4.8647
angles: 90.00 90.00 90.00
Sites, in units of the cell vectors:
Mg (0.1162, 0.1413, 0.2500)
Mg (0.1162, 0.3587, 0.7500)
Mg (0.3672, 0.6393, 0.2500)
Mg (0.3672, 0.8607, 0.7500)
Mg (0.3746, 0.1872, 0.7500)
Mg (0.3746, 0.3128, 0.2500)
Mg (0.6254, 0.6872, 0.7500)
Mg (0.6254, 0.8128, 0.2500)
Mg (0.6328, 0.1393, 0.2500)
Mg (0.6328, 0.3607, 0.7500)
Mg (0.8838, 0.6413, 0.2500)
Mg (0.8838, 0.8587, 0.7500)
Ta (0.1189, 0.0246, 0.7500)
Ta (0.1189, 0.4754, 0.2500)
Ta (0.1255, 0.6939, 0.7500)
Ta (0.1255, 0.8061, 0.2500)
Ta (0.3677, 0.5229, 0.7500)
Ta (0.3677, 0.9771, 0.2500)
Ta (0.6323, 0.0229, 0.7500)
Ta (0.6323, 0.4771, 0.2500)
Ta (0.8745, 0.1939, 0.7500)
Ta (0.8745, 0.3061, 0.2500)
Ta (0.8811, 0.5246, 0.7500)
Ta (0.8811, 0.9754, 0.2500)

Mg2Ta | GGA-PBE | relaxed

Summary:
- Density: 6.5 Mg/m³
- SG: Cmcm
- E above lowest polymorph: 241.1 meV per atom

abc: 8.2024 8.2024 5.1526
angles: 90.00 90.00 160.10
Sites, in units of the cell vectors:
Mg (0.0576, 0.9424, 0.7500)
Mg (0.2766, 0.7234, 0.2500)
Mg (0.7234, 0.2766, 0.7500)
Mg (0.9424, 0.0576, 0.2500)
Ta (0.3941, 0.6059, 0.7500)
Ta (0.6059, 0.3941, 0.2500)

MgTa | GGA-PBE | relaxed

Summary:
- Density: 8.9 Mg/m³
- SG: Pmma
- DFT total energy: -6.378 eV per atom

abc: 4.8690 2.8616 5.5134
angles: 90.00 90.00 90.00
Sites, in units of the cell vectors:
Mg (0.2500, 0.0000, 0.1426)
Mg (0.7500, 0.0000, 0.8574)
Ta (0.2500, 0.5000, 0.6226)
Ta (0.7500, 0.5000, 0.3774)

MgTa | GGA-PBE | relaxed

Summary:
- Density: 8.7 Mg/m³
- SG: P2_1/m
- DFT total energy: -6.485 eV per atom

abc: 6.3391 4.7936 7.8843
angles: 90.00 102.36 90.00
Sites, in units of the cell vectors:
Mg (0.0630, 0.2500, 0.2199)
Mg (0.1253, 0.7500, 0.4608)
Mg (0.4019, 0.2500, 0.5589)
Mg (0.5981, 0.7500, 0.4411)
Mg (0.8747, 0.2500, 0.5392)
Mg (0.9370, 0.7500, 0.7801)
Ta (0.2232, 0.2500, 0.8814)
Ta (0.2696, 0.7500, 0.1030)
Ta (0.4579, 0.7500, 0.8241)
Ta (0.5421, 0.2500, 0.1759)
Ta (0.7304, 0.2500, 0.8970)
Ta (0.7768, 0.7500, 0.1186)

MgTa | GGA-PBE | relaxed

Summary:
- Density: 8.7 Mg/m³
- SG: Amm2
- DFT total energy: -6.414 eV per atom

abc: 4.8931 8.0064 8.0064
angles: 141.34 90.00 90.00
Sites, in units of the cell vectors:
Mg (0.0000, 0.0000, 0.0000)
Mg (0.0000, 0.1795, 0.7824)
Mg (0.0000, 0.7824, 0.1795)
Mg (0.5000, 0.1157, 0.5149)
Mg (0.5000, 0.5149, 0.1157)
Ta (0.0000, 0.4109, 0.5876)
Ta (0.0000, 0.5876, 0.4109)
Ta (0.5000, 0.3154, 0.3154)
Ta (0.5000, 0.7095, 0.8874)
Ta (0.5000, 0.8874, 0.7095)